[1]
A PBEsol-optimized structure of InOs2W, computed with meta-GGA SCAN.

a = 3.0954 Å, b = 4.4899 Å, c = 4.4899 Å
α = 90.00°, β = 90.00°, γ = 90.00°
Fractional positions:
1 W 0.5000 0.5000 0.5000
2 In 0.5000 0.0000 0.0000
3 Os 0.0000 0.0000 0.5000
4 Os 0.0000 0.5000 0.0000

Summary:
space group	P4/mmm (123)
total DFT energy (no corrections)	-61.30	eV per atom
crystal system	tetragonal
calculated formation energy	411.5	meV/atom
V	62.4	Å³ per cell


[2]
A PBEsol-optimized structure of YInOs, computed with meta-GGA SCAN.

a = 4.6666 Å, b = 4.6666 Å, c = 4.6666 Å
α = 60.00°, β = 60.00°, γ = 60.00°
Fractional positions:
1 Y 0.2500 0.2500 0.2500
2 In 0.0000 0.0000 0.0000
3 Os 0.5000 0.5000 0.5000

Summary:
space group	F-43m (216)
total DFT energy (no corrections)	-43.62	eV per atom
crystal system	cubic
calculated formation energy	747.5	meV/atom
V	71.9	Å³ per cell


[3]
A PBEsol-optimized structure of YIn3Os, computed with meta-GGA SCAN.

a = 5.5286 Å, b = 5.5286 Å, c = 5.5286 Å
α = 90.00°, β = 90.00°, γ = 90.00°
Each line ends with the local moment (μB).
Fractional positions:
1 In 0.0000 0.0000 0.5000  -0.05
2 In 0.0000 0.5000 0.0000  -0.05
3 In 0.5000 0.0000 0.0000  -0.05
4 Y 0.0000 0.0000 0.0000  -0.20
5 Os 0.5000 0.5000 0.5000  2.61

Summary:
space group	Pm-3m (221)
total DFT energy (no corrections)	-38.05	eV per atom
crystal system	cubic
calculated formation energy	1923.0	meV/atom
V	169.0	Å³ per cell


[4]
A PBEsol-optimized structure of Y2InOs, computed with meta-GGA SCAN.

a = 3.4117 Å, b = 3.4117 Å, c = 7.7348 Å
α = 90.00°, β = 90.00°, γ = 90.00°
Fractional positions:
1 Y 0.0000 0.0000 0.2892
2 Y 0.0000 0.0000 0.7108
3 Os 0.5000 0.5000 0.5000
4 In 0.5000 0.5000 0.0000

Summary:
space group	P4/mmm (123)
total DFT energy (no corrections)	-40.77	eV per atom
crystal system	tetragonal
calculated formation energy	-533.3	meV/atom
V	90.0	Å³ per cell


[5]
A PBEsol-optimized structure of Y2InOs, computed with meta-GGA SCAN.

a = 3.4513 Å, b = 3.4513 Å, c = 9.3808 Å
α = 79.40°, β = 79.40°, γ = 60.00°
Fractional positions:
1 Os 0.0000 0.0000 0.0000
2 In 0.5000 0.5000 0.5000
3 Y 0.2614 0.2614 0.2158
4 Y 0.7386 0.7386 0.7842

Summary:
space group	R-3m (166)
total DFT energy (no corrections)	-40.36	eV per atom
crystal system	trigonal
calculated formation energy	-124.2	meV/atom
V	94.6	Å³ per cell


[6]
A PBEsol-optimized structure of Y2InOs, computed with meta-GGA SCAN.

a = 3.3568 Å, b = 3.3568 Å, c = 8.2908 Å
α = 90.00°, β = 90.00°, γ = 90.00°
Each line ends with the local moment (μB).
Fractional positions:
1 Os 0.5000 0.5000 0.7302  0.01
2 Y 0.5000 0.5000 0.2921  0.25
3 Y 0.0000 0.0000 0.9280  -0.01
4 In 0.0000 0.0000 0.5496  0.00

Summary:
space group	P4mm (99)
total DFT energy (no corrections)	-40.35	eV per atom
crystal system	tetragonal
calculated formation energy	-109.9	meV/atom
V	93.4	Å³ per cell


[7]
A PBEsol-optimized structure of Y2InOs, computed with meta-GGA SCAN.

a = 4.8711 Å, b = 4.8711 Å, c = 4.8711 Å
α = 60.00°, β = 60.00°, γ = 60.00°
Fractional positions:
1 In 0.5000 0.5000 0.5000
2 Y 0.2500 0.2500 0.2500
3 Y 0.0000 0.0000 0.0000
4 Os 0.7500 0.7500 0.7500

Summary:
space group	F-43m (216)
total DFT energy (no corrections)	-40.42	eV per atom
crystal system	cubic
calculated formation energy	-183.2	meV/atom
V	81.7	Å³ per cell


[8]
A PBEsol-optimized structure of ZnIn2Os, computed with meta-GGA SCAN.

a = 2.9825 Å, b = 2.9825 Å, c = 9.2729 Å
α = 90.00°, β = 90.00°, γ = 117.77°
Fractional positions:
1 In 0.0000 0.0000 0.7409
2 In 0.0000 0.0000 0.2591
3 Os 0.5000 0.5000 0.5000
4 Zn 0.5000 0.5000 0.0000

Summary:
space group	Cmmm (65)
total DFT energy (no corrections)	-37.44	eV per atom
crystal system	orthorhombic
calculated formation energy	603.6	meV/atom
V	73.0	Å³ per cell


[9]
A PBEsol-optimized structure of ZnInOs2, computed with meta-GGA SCAN.

a = 3.9021 Å, b = 3.9021 Å, c = 4.0062 Å
α = 90.00°, β = 90.00°, γ = 90.00°
Fractional positions:
1 In 0.0000 0.0000 0.5000
2 Zn 0.5000 0.5000 0.5000
3 Os 0.0000 0.5000 0.0000
4 Os 0.5000 0.0000 0.0000

Summary:
space group	P4/mmm (123)
total DFT energy (no corrections)	-47.06	eV per atom
crystal system	tetragonal
calculated formation energy	607.1	meV/atom
V	61.0	Å³ per cell


[10]
A PBEsol-optimized structure of Zn2InOs, computed with meta-GGA SCAN.

a = 3.8068 Å, b = 3.8068 Å, c = 4.9611 Å
α = 112.56°, β = 112.56°, γ = 90.00°
Each line ends with the local moment (μB).
Fractional positions:
1 In 0.5000 0.5000 0.0000  -0.01
2 Zn 0.7500 0.2500 0.5000  0.01
3 Zn 0.0000 0.0000 0.0000  0.00
4 Os 0.2500 0.7500 0.5000  0.69

Summary:
space group	I-4m2 (119)
total DFT energy (no corrections)	-32.93	eV per atom
crystal system	tetragonal
calculated formation energy	143.0	meV/atom
V	60.4	Å³ per cell


[11]
A PBEsol-optimized structure of Zn2InOs, computed with meta-GGA SCAN.

a = 3.3417 Å, b = 3.3417 Å, c = 5.5765 Å
α = 90.00°, β = 90.00°, γ = 90.00°
Fractional positions:
1 Zn 0.0000 0.0000 0.2806
2 Zn 0.0000 0.0000 0.7194
3 Os 0.5000 0.5000 0.5000
4 In 0.5000 0.5000 0.0000

Summary:
space group	P4/mmm (123)
total DFT energy (no corrections)	-32.83	eV per atom
crystal system	tetragonal
calculated formation energy	241.3	meV/atom
V	62.3	Å³ per cell


[12]
A PBEsol-optimized structure of ZnIn2Os, computed with meta-GGA SCAN.

a = 3.0662 Å, b = 3.0662 Å, c = 9.0027 Å
α = 80.20°, β = 80.20°, γ = 60.00°
Fractional positions:
1 In 0.2466 0.2466 0.2603
2 In 0.7534 0.7534 0.7397
3 Os 0.5000 0.5000 0.5000
4 Zn 0.0000 0.0000 0.0000

Summary:
space group	R-3m (166)
total DFT energy (no corrections)	-37.63	eV per atom
crystal system	trigonal
calculated formation energy	412.8	meV/atom
V	71.9	Å³ per cell


Please write out number 5 again, unchanged.
A PBEsol-optimized structure of Y2InOs, computed with meta-GGA SCAN.

a = 3.4513 Å, b = 3.4513 Å, c = 9.3808 Å
α = 79.40°, β = 79.40°, γ = 60.00°
Fractional positions:
1 Os 0.0000 0.0000 0.0000
2 In 0.5000 0.5000 0.5000
3 Y 0.2614 0.2614 0.2158
4 Y 0.7386 0.7386 0.7842

Summary:
space group	R-3m (166)
total DFT energy (no corrections)	-40.36	eV per atom
crystal system	trigonal
calculated formation energy	-124.2	meV/atom
V	94.6	Å³ per cell


Q: Which of these has the lowest total DFT energy (no corrections)?
A: InOs2W